Crystalline GaOs2C2 at its relaxed geometry. Source: Alexandria, functional PBE.

Unit cell a=6.4788 b=6.4788 c=2.7389 alpha=90.00 beta=90.00 gamma=90.00
Last column: nearest neighbours and their distance in Å.
Sites, in units of the cell vectors:
1 Os 0.8524 0.6476 0.0000  6 C 2.26-2.47, 2 Ga 2.48
2 C 0.8718 0.3718 0.5000  6 Os 2.26-2.47, 1 C 2.35
3 Os 0.3524 0.8524 0.0000  6 C 2.26-2.47, 2 Ga 2.48
4 C 0.3718 0.1282 0.5000  6 Os 2.26-2.47, 1 C 2.35
5 C 0.6282 0.8718 0.5000  6 Os 2.26-2.47, 1 C 2.35
6 Ga 0.5000 0.5000 0.0000  4 Os 2.48, 2 Ga 2.74
7 C 0.1282 0.6282 0.5000  6 Os 2.26-2.47, 1 C 2.35
8 Os 0.6476 0.1476 0.0000  6 C 2.26-2.47, 2 Ga 2.48
9 Os 0.1476 0.3524 0.0000  6 C 2.26-2.47, 2 Ga 2.48
10 Ga 0.0000 0.0000 0.0000  4 Os 2.48, 2 Ga 2.74

Calculated values
* crystal system: tetragonal
* formation energy from the elements: 1.31 eV per atom
* Fermi-level density of states: 4.4 states/eV per cell